Record 1
Entry from Alexandria via LeMat-Bulk: a relaxed structure of Ba3HgO (PBE).

Cell: 9.393 9.393 4.230 Å, 90.00 90.00 110.93°
Sites, in units of the cell vectors:
Ba (0.167, 0.430, 0.500)
Ba (0.196, 0.804, 0.000)
Ba (0.430, 0.167, 0.500)
Ba (0.570, 0.833, 0.500)
Ba (0.804, 0.196, 0.000)
Ba (0.833, 0.570, 0.500)
Hg (0.000, 0.000, 0.500)
Hg (0.500, 0.500, 0.000)
O (0.000, 0.500, 0.000)
O (0.500, 0.000, 0.000)

Summary:
The raw total energy is -3.295 eV/atom. Its magnetization is 0.01 Bohr magnetons per cell. The calculation puts the relative energy among the computed polymorphs at 1.41 kcal/mol of atoms. The value obtained for the formation energy (no corrections) is -105 kJ per mole of atoms. Its symmetry is Cmmm.

Record 2
Entry from Alexandria via LeMat-Bulk: a relaxed structure of MnGePN (PBE).

Cell: 3.060 2.635 6.505 Å, 90.00 103.29 90.00°
Sites, in units of the cell vectors:
Mn (0.000, 0.000, 0.000)
Ge (0.703, 0.500, 0.417)
P (0.408, 0.500, 0.811)
N (0.107, 0.500, 0.218)

Summary:
The raw total energy is -6.876 eV/atom. Its magnetization is 0.27 Bohr magnetons per cell. The calculation puts the relative energy among the computed polymorphs at 0.35 kcal/mol of atoms. The value obtained for the formation energy (no corrections) is 0 kJ per mole of atoms. Its symmetry is Pm.

Record 3
Entry from Alexandria via LeMat-Bulk: a relaxed structure of SrNi2AsN (PBE).

Cell: 5.946 5.946 6.903 Å, 90.00 90.00 142.04°
Sites, in units of the cell vectors:
Sr (0.043, 0.957, 0.750)
Sr (0.957, 0.043, 0.250)
Ni (0.340, 0.660, 0.556)
Ni (0.340, 0.660, 0.944)
Ni (0.660, 0.340, 0.056)
Ni (0.660, 0.340, 0.444)
As (0.231, 0.769, 0.250)
As (0.769, 0.231, 0.750)
N (0.500, 0.500, 0.000)
N (0.500, 0.500, 0.500)

Summary:
The raw total energy is -5.683 eV/atom. Its magnetization is 1.98 Bohr magnetons per cell. The value obtained for the formation energy (no corrections) is -42 kJ per mole of atoms. Its symmetry is Cmcm.

Record 4
Entry from Alexandria via LeMat-Bulk: a relaxed structure of YCdRh2 (PBE).

Cell: 8.972 8.972 8.972 Å, 20.97 20.97 20.97°
Sites, in units of the cell vectors:
Y (0.000, 0.000, 0.000)
Cd (0.229, 0.229, 0.229)
Rh (0.483, 0.483, 0.483)
Rh (0.741, 0.741, 0.741)

Summary:
The raw total energy is -5.361 eV/atom. Its magnetization is 0.79 Bohr magnetons per cell. The formation energy from the elements is 159.4 meV per atom. Its symmetry is R3m.

Record 5
Entry from Alexandria via LeMat-Bulk: a relaxed structure of Gd2YOs (PBE).

Cell: 3.413 3.413 9.444 Å, 90.00 90.00 90.00°
Sites, in units of the cell vectors:
Gd (0.000, 0.000, 0.179)
Gd (0.000, 0.000, 0.821)
Y (0.500, 0.500, 0.500)
Os (0.500, 0.500, 0.000)

Summary:
The raw total energy is -11.520 eV/atom. Its magnetization is 14.16 Bohr magnetons per cell. The calculation puts the relative energy among the computed polymorphs at 0.00 kcal/mol of atoms. The formation energy from the elements is -56.1 meV per atom. Its symmetry is P4/mmm.

Record 6
Entry from Alexandria via LeMat-Bulk: a relaxed structure of LiBe2W (PBE).

Cell: 2.639 3.415 5.578 Å, 90.00 90.16 90.00°
Sites, in units of the cell vectors:
Li (0.000, 0.000, 0.000)
Be (0.499, 0.500, 0.285)
Be (0.501, 0.500, 0.715)
W (0.000, 0.000, 0.500)

Summary:
The raw total energy is -5.334 eV/atom. Its magnetization is 0.00 Bohr magnetons per cell. The calculation puts the relative energy among the computed polymorphs at 1.65 kcal/mol of atoms. The formation energy from the elements is 246.2 meV per atom. Its symmetry is P2/m.

Record 7
Entry from Alexandria via LeMat-Bulk: a relaxed structure of KSrHg2 (PBE).

Cell: 7.447 7.447 7.447 Å, 106.09 106.09 116.47°
Sites, in units of the cell vectors:
K (0.000, 0.000, 0.000)
K (0.750, 0.250, 0.500)
Sr (0.250, 0.750, 0.500)
Sr (0.500, 0.500, 0.000)
Hg (0.132, 0.125, 0.507)
Hg (0.375, 0.868, 0.993)
Hg (0.618, 0.625, 0.493)
Hg (0.875, 0.382, 0.007)

Summary:
The raw total energy is -1.006 eV/atom. Its magnetization is 0.00 Bohr magnetons per cell. The formation energy from the elements is -160.5 meV per atom. Its symmetry is I-42d.

Record 8
Entry from Alexandria via LeMat-Bulk: a relaxed structure of Ba3In (PBE).

Cell: 4.236 4.322 12.151 Å, 90.00 90.00 90.00°
Sites, in units of the cell vectors:
Ba (0.000, 0.000, 0.000)
Ba (0.000, 0.500, 0.321)
Ba (0.500, 0.500, 0.710)
In (0.500, 0.000, 0.478)

Summary:
The raw total energy is -2.158 eV/atom. Its magnetization is 0.33 Bohr magnetons per cell. The formation energy from the elements is -31.6 meV per atom. Its symmetry is Pmm2.

Record 9
Entry from Alexandria via LeMat-Bulk: a relaxed structure of Y2ScAlRh (PBE).

Cell: 5.241 5.241 4.923 Å, 90.00 90.00 90.00°
Sites, in units of the cell vectors:
Y (0.000, 0.500, 0.000)
Y (0.500, 0.000, 0.000)
Sc (0.000, 0.000, 0.000)
Al (0.000, 0.000, 0.500)
Rh (0.500, 0.500, 0.500)

Summary:
The raw total energy is -5.034 eV/atom. Its magnetization is 1.25 Bohr magnetons per cell. The calculation puts the relative energy among the computed polymorphs at 19.64 kcal/mol of atoms. The formation energy from the elements is 1036.4 meV per atom. Its symmetry is P4/mmm.

Record 10
Entry from Alexandria via LeMat-Bulk: a relaxed structure of Cs2WS4 (PBE).

Cell: 7.521 7.271 10.378 Å, 90.00 106.91 90.00°
Sites, in units of the cell vectors:
Cs (0.198, 0.250, 0.432)
Cs (0.284, 0.250, 0.969)
Cs (0.716, 0.750, 0.031)
Cs (0.802, 0.750, 0.568)
W (0.311, 0.750, 0.224)
W (0.689, 0.250, 0.776)
S (0.097, 0.750, 0.332)
S (0.180, 0.750, 0.003)
S (0.490, 0.505, 0.279)
S (0.490, 0.995, 0.279)
S (0.510, 0.005, 0.721)
S (0.510, 0.495, 0.721)
S (0.820, 0.250, 0.997)
S (0.903, 0.250, 0.668)

Summary:
The raw total energy is -5.494 eV/atom. Its magnetization is 0.00 Bohr magnetons per cell. The calculation puts the relative energy among the computed polymorphs at 0.17 kcal/mol of atoms. The value obtained for the formation energy (no corrections) is -100 kJ per mole of atoms. Its symmetry is P2_1/m.

Record 11
Entry from Alexandria via LeMat-Bulk: a relaxed structure of Zr4CrAg (PBE).

Cell: 5.715 5.715 5.715 Å, 60.00 60.00 60.00°
Sites, in units of the cell vectors:
Zr (0.376, 0.376, 0.376)
Zr (0.376, 0.376, 0.872)
Zr (0.376, 0.872, 0.376)
Zr (0.872, 0.376, 0.376)
Cr (0.750, 0.750, 0.750)
Ag (0.000, 0.000, 0.000)

Summary:
The raw total energy is -7.222 eV/atom. Its magnetization is 3.70 Bohr magnetons per cell. The formation energy from the elements is 556.2 meV per atom. Its symmetry is F-43m.

Record 12
Entry from Alexandria via LeMat-Bulk: a relaxed structure of Ho9Er3Th2 (PBE).

Cell: 10.049 10.049 10.049 Å, 148.55 119.08 70.18°
Sites, in units of the cell vectors:
Ho (0.000, 0.000, 0.000)
Ho (0.103, 0.874, 0.229)
Ho (0.160, 0.311, 0.848)
Ho (0.355, 0.126, 0.229)
Ho (0.463, 0.311, 0.152)
Ho (0.537, 0.689, 0.848)
Ho (0.645, 0.874, 0.771)
Ho (0.840, 0.689, 0.152)
Ho (0.897, 0.126, 0.771)
Er (0.179, 0.679, 0.500)
Er (0.500, 0.000, 0.500)
Er (0.821, 0.321, 0.500)
Th (0.231, 0.500, 0.731)
Th (0.769, 0.500, 0.269)

Summary:
The raw total energy is -4.647 eV/atom. Its magnetization is 0.00 Bohr magnetons per cell. The formation energy from the elements is 334.1 meV per atom. Its symmetry is Immm.